The following is a PBE calculation of crystalline Pt2NO at its relaxed geometry, from the Alexandria database.

POSCAR file:
```
Pt2NO
1.0
4.250 0.000 0.000
0.000 4.250 0.000
0.000 0.000 11.957
Pt N O
8 4 4
Direct
0.201 0.250 0.125
0.250 0.701 0.375
0.250 0.799 0.875
0.299 0.250 0.625
0.701 0.750 0.625
0.750 0.201 0.875
0.750 0.299 0.375
0.799 0.750 0.125
0.000 0.000 0.000
0.000 0.500 0.250
0.500 0.000 0.750
0.500 0.500 0.500
0.000 0.000 0.500
0.000 0.500 0.750
0.500 0.000 0.250
0.500 0.500 0.000
```

## Properties
Symmetry: I-42d (122)
Excess energy over the best structure of this formula in the dataset, meV/atom: 0
E_form (uncorrected), kJ per mole of atoms: 59.4

***

The following is a PBE calculation of crystalline DyPaOsRu at its relaxed geometry, from the Alexandria database.

POSCAR file:
```
DyPaOsRu
1.0
4.579 0.000 0.000
-2.289 3.965 0.000
0.000 0.000 13.706
Dy Pa Os Ru
3 3 3 3
Direct
0.000 0.000 0.000
0.333 0.667 0.667
0.667 0.333 0.333
0.000 0.000 0.499
0.333 0.667 0.165
0.667 0.333 0.832
0.000 0.000 0.227
0.333 0.667 0.893
0.667 0.333 0.560
0.000 0.000 0.780
0.333 0.667 0.446
0.667 0.333 0.113
```

## Properties
Calculated total energy, eV for the cell shown: -108.23
Symmetry: R3m (160)

***

The following is a PBE calculation of crystalline BaSr2Pb at its relaxed geometry, from the Alexandria database.

POSCAR file:
```
BaSr2Pb
1.0
4.090 0.000 0.000
0.000 4.090 0.000
0.000 0.000 11.163
Ba Sr Pb
1 2 1
Direct
0.000 0.000 0.000
0.500 0.500 0.314
0.500 0.500 0.686
0.000 0.000 0.500
```

## Properties
Calculated total energy, eV for the cell shown: -10.10
Symmetry: P4/mmm (123)

***

The following is a PBE calculation of crystalline AcPr2Au3 at its relaxed geometry, from the Alexandria database.

POSCAR file:
```
AcPr2Au3
1.0
2.701 -8.092 0.000
2.701 8.092 0.000
0.000 0.000 7.542
Ac Pr Au
2 4 6
Direct
0.166 0.834 0.000
0.834 0.166 0.000
0.167 0.833 0.500
0.500 0.500 0.000
0.500 0.500 0.500
0.833 0.167 0.500
0.000 0.000 0.261
0.000 0.000 0.739
0.337 0.663 0.264
0.337 0.663 0.736
0.663 0.337 0.264
0.663 0.337 0.736
```

## Properties
Symmetry: Cmmm (65)
Excess energy over the best structure of this formula in the dataset, meV/atom: 5

***

The following is a PBE calculation of crystalline Re2PbCl at its relaxed geometry, from the Alexandria database.

POSCAR file:
```
Re2PbCl
1.0
8.051 0.000 0.000
0.000 2.946 0.000
-2.380 0.000 8.179
Re Pb Cl
4 2 2
Direct
0.000 0.000 0.000
0.220 0.000 0.864
0.500 0.500 0.000
0.720 0.500 0.864
0.282 0.500 0.235
0.782 0.000 0.235
0.129 0.500 0.632
0.629 0.000 0.632
```

## Properties
Symmetry: Cm (8)
Excess energy over the best structure of this formula in the dataset, meV/atom: 268
E_form (uncorrected), kJ per mole of atoms: 39.2

***

The following is a PBE calculation of crystalline Y6Tc2Pd at its relaxed geometry, from the Alexandria database.

POSCAR file:
```
Y6Tc2Pd
1.0
-4.731 4.828 5.028
4.731 -4.828 5.028
4.731 4.828 -5.028
Y Tc Pd
12 4 2
Direct
0.025 0.819 0.206
0.237 0.538 0.301
0.237 0.936 0.699
0.274 0.316 0.590
0.274 0.684 0.958
0.387 0.181 0.206
0.613 0.819 0.794
0.726 0.316 0.042
0.726 0.684 0.410
0.763 0.064 0.301
0.763 0.462 0.699
0.975 0.181 0.794
0.000 0.132 0.132
0.000 0.868 0.868
0.384 0.384 0.000
0.616 0.616 0.000
0.000 0.500 0.500
0.500 0.000 0.500
```

## Properties
Calculated total energy, eV for the cell shown: -133.03
Symmetry: Immm (71)

***

Values for N(E_F), states/eV per atom, ordered as above
0.8689 0.3444 1.1090 0.8132 0.5864 1.1288